1.
Y4S3: relaxed, PBE-GGA.

Cell: 12.8913 12.8913 12.8913 Å, 17.21 17.21 17.21°
Positions (direct):
Y1 0.1218 0.1218 0.1218
Y2 0.3722 0.3722 0.3722
Y3 0.6278 0.6278 0.6278
Y4 0.8782 0.8782 0.8782
S1 0.2523 0.2523 0.2523
S2 0.5000 0.5000 0.5000
S3 0.7477 0.7477 0.7477

Output
calculated total energy = -7.169 eV/atom



2.
YS8: relaxed, PBE-GGA.

Cell: 7.7090 7.7090 7.7090 Å, 94.48 94.48 147.55°
Positions (direct):
Y1 0.0000 0.0000 0.0000
S1 0.0000 0.4015 0.4015
S2 0.0000 0.5985 0.5985
S3 0.3809 0.3809 0.7619
S4 0.3809 0.6191 0.0000
S5 0.4015 0.0000 0.4015
S6 0.5985 0.0000 0.5985
S7 0.6191 0.3809 0.0000
S8 0.6191 0.6191 0.2381

Output
calculated total energy = -4.215 eV/atom



3.
Y5S7: relaxed, PBE-GGA.

Cell: 6.7174 6.7174 11.6380 Å, 104.01 104.01 33.07°
Positions (direct):
Y1 0.0000 0.0000 0.0000
Y2 0.1121 0.1121 0.4210
Y3 0.3003 0.3003 0.1873
Y4 0.6997 0.6997 0.8127
Y5 0.8879 0.8879 0.5790
S1 0.0420 0.0420 0.7851
S2 0.2594 0.2594 0.6470
S3 0.3409 0.3409 0.9488
S4 0.5000 0.5000 0.5000
S5 0.6591 0.6591 0.0512
S6 0.7406 0.7406 0.3530
S7 0.9580 0.9580 0.2149

Output
calculated total energy = -7.178 eV/atom



4.
Y2S3: relaxed, PBE-GGA.

Cell: 13.8124 13.8124 13.8124 Å, 144.79 144.79 50.64°
Positions (direct):
Y1 0.0491 0.4283 0.9006
Y2 0.1644 0.1644 0.0000
Y3 0.1783 0.2991 0.4006
Y4 0.2223 0.8217 0.1208
Y5 0.2569 0.1250 0.6319
Y6 0.3750 0.7431 0.8681
Y7 0.4931 0.6250 0.3681
Y8 0.5277 0.1486 0.0994
Y9 0.5717 0.4723 0.6208
Y10 0.5856 0.0856 0.5000
Y11 0.7009 0.1014 0.8792
Y12 0.8356 0.8356 0.0000
Y13 0.8514 0.9509 0.3792
Y14 0.8750 0.5069 0.1319
Y15 0.8986 0.7777 0.5994
Y16 0.9144 0.4144 0.5000
S1 0.0735 0.8274 0.6137
S2 0.1726 0.7862 0.2460
S3 0.1881 0.0933 0.7466
S4 0.1915 0.5967 0.7534
S5 0.2098 0.4638 0.8863
S6 0.2138 0.4598 0.3863
S7 0.2466 0.0008 0.1161
S8 0.3467 0.4415 0.2534
S9 0.4033 0.1567 0.5948
S10 0.5034 0.1195 0.2542
S11 0.5362 0.4226 0.7460
S12 0.5402 0.9265 0.7540
S13 0.5585 0.8119 0.9052
S14 0.5619 0.8085 0.4052
S15 0.5774 0.3235 0.1137
S16 0.6765 0.7902 0.2540
S17 0.7508 0.4966 0.6161
S18 0.8433 0.4381 0.2466
S19 0.8654 0.2492 0.7458
S20 0.8695 0.7534 0.7542
S21 0.8805 0.1346 0.3839
S22 0.8846 0.1305 0.8839
S23 0.9067 0.6533 0.0948
S24 0.9992 0.1154 0.2458

Output
calculated total energy = -7.107 eV/atom